Below is a geometry-optimized RbHfGa structure, with properties calculated at the PBE level.

```
RbHfGa
1.0
3.9704 -2.2923 0.0000
0.0000 4.5846 0.0000
0.0000 0.0000 6.2208
Hf Ga Rb
1 1 1
Cartesian
1.3235 2.2923 0.0000
0.0000 0.0000 0.0000
2.6469 0.0000 3.1104
```

The volume comes out at 113.2 Å³ per cell. For the density of states at the Fermi level, the calculation gives 3.18 states/eV per cell. The energy above the most stable polymorph in this dataset comes out at 752.2 meV/atom. The space group is P-6m2. The calculation puts the total magnetization at 0.62 μB per formula unit.